[1]
A plane-wave DFT calculation with PBE was carried out for an optimized crystal structure of Zr2In2Pt.

Summary:
- mass density (g/cm³) = 8.54
- electronic total energy (hartree per atom) = -0.2179
- calculated volume (Å³ per atom) = 23.61

a b c (Å): 7.0074 7.0074 4.8075
angles (deg): 90.00 90.00 90.00
Last column: nearest neighbours and their distance in Å.
Element x y z (fractional)
1 Zr 0.1549 0.3451 0.0000  2 Pt 2.65
2 Zr 0.3451 0.8451 0.0000  2 Pt 2.65
3 Zr 0.6549 0.1549 0.0000  2 Pt 2.65
4 Zr 0.8451 0.6549 0.0000  2 Pt 2.65
5 In 0.1565 0.6565 0.5000  6 Zr 3.05-3.25, 1 In 3.10
6 In 0.3435 0.1565 0.5000  6 Zr 3.05-3.25, 1 In 3.10
7 In 0.6565 0.8435 0.5000  6 Zr 3.05-3.25, 1 In 3.10
8 In 0.8435 0.3435 0.5000  6 Zr 3.05-3.25, 1 In 3.10
9 Pt 0.0000 0.0000 0.0000  4 Zr 2.65
10 Pt 0.5000 0.5000 0.0000  4 Zr 2.65

=====

[2]
A plane-wave DFT calculation with PBE was carried out for an optimized crystal structure of ZrInPt2.

Summary:
- mass density (g/cm³) = 13.43
- electronic total energy (hartree per atom) = -0.2395
- calculated volume (Å³ per atom) = 18.43

a b c (Å): 4.9898 4.9898 2.9607
angles (deg): 90.00 90.00 90.67
Last column: nearest neighbours and their distance in Å.
Element x y z (fractional)
1 Zr 0.0000 0.0000 0.0000  8 Pt 2.90, 2 Zr 2.96
2 In 0.5000 0.5000 0.0000  8 Pt 2.90, 2 In 2.96
3 Pt 0.0000 0.5000 0.5000  4 In 2.90, 4 Zr 2.90, 2 Pt 2.96
4 Pt 0.5000 0.0000 0.5000  4 In 2.90, 4 Zr 2.90, 2 Pt 2.96

=====

[3]
A plane-wave DFT calculation with PBE was carried out for an optimized crystal structure of ZrIn3Pt.

Summary:
- mass density (g/cm³) = 6.34
- electronic total energy (hartree per atom) = -0.1278
- calculated volume (Å³ per atom) = 33.03

a b c (Å): 5.4867 5.4867 5.4867
angles (deg): 90.00 90.00 90.00
Last column: nearest neighbours and their distance in Å.
Element x y z (fractional)
1 Zr 0.0000 0.0000 0.0000  6 In 2.74
2 In 0.0000 0.0000 0.5000  2 Zr 2.74
3 In 0.0000 0.5000 0.0000  2 Zr 2.74
4 In 0.5000 0.0000 0.0000  2 Zr 2.74
5 Pt 0.5000 0.5000 0.5000  12 In 3.88

=====

[4]
A plane-wave DFT calculation with PBE was carried out for an optimized crystal structure of Zr11In9Pt4.

Summary:
- mass density (g/cm³) = 9.13
- electronic total energy (hartree per atom) = -0.2388
- calculated volume (Å³ per atom) = 21.36

a b c (Å): 12.7888 12.7888 3.3911
angles (deg): 90.00 90.00 112.45
Last column: nearest neighbours and their distance in Å.
Element x y z (fractional)
1 Zr 0.0000 0.0000 0.0000  8 In 3.07, 4 Zr 3.26-3.39
2 Zr 0.0584 0.4123 0.0000  2 Pt 2.83, 6 In 3.08-3.13, 1 Zr 3.13
3 Zr 0.1535 0.8465 0.0000  8 In 3.16-3.22, 5 Zr 3.26-3.39
4 Zr 0.3116 0.3116 0.0000  4 Pt 2.79
5 Zr 0.3742 0.6258 0.0000  4 Pt 2.80
6 Zr 0.4123 0.0584 0.0000  2 Pt 2.83, 6 In 3.08-3.13, 1 Zr 3.13
7 Zr 0.5877 0.9416 0.0000  2 Pt 2.83, 6 In 3.08-3.13, 1 Zr 3.13
8 Zr 0.6258 0.3742 0.0000  4 Pt 2.80
9 Zr 0.6884 0.6884 0.0000  4 Pt 2.79
10 Zr 0.8465 0.1535 0.0000  8 In 3.16-3.22, 5 Zr 3.26-3.39
11 Zr 0.9416 0.5877 0.0000  2 Pt 2.83, 6 In 3.08-3.13, 1 Zr 3.13
12 In 0.0711 0.2167 0.5000  1 Pt 2.96, 8 Zr 3.07-3.31, 1 In 3.10
13 In 0.1572 0.6344 0.5000  1 In 2.96, 1 Pt 2.99, 8 Zr 3.09-3.29
14 In 0.2167 0.0711 0.5000  1 Pt 2.96, 8 Zr 3.07-3.31, 1 In 3.10
15 In 0.3656 0.8428 0.5000  1 In 2.96, 1 Pt 2.99, 8 Zr 3.09-3.29
16 In 0.5000 0.5000 0.5000  4 Pt 3.06, 8 Zr 3.17, 2 In 3.39
17 In 0.6344 0.1572 0.5000  1 In 2.96, 1 Pt 2.99, 8 Zr 3.09-3.29
18 In 0.7833 0.9289 0.5000  1 Pt 2.96, 8 Zr 3.07-3.31, 1 In 3.10
19 In 0.8428 0.3656 0.5000  1 In 2.96, 1 Pt 2.99, 8 Zr 3.09-3.29
20 In 0.9289 0.7833 0.5000  1 Pt 2.96, 8 Zr 3.07-3.31, 1 In 3.10
21 Pt 0.2460 0.4493 0.5000  6 Zr 2.79-2.83, 3 In 2.96-3.06
22 Pt 0.4493 0.2460 0.5000  6 Zr 2.79-2.83, 3 In 2.96-3.06
23 Pt 0.5507 0.7540 0.5000  6 Zr 2.79-2.83, 3 In 2.96-3.06
24 Pt 0.7540 0.5507 0.5000  6 Zr 2.79-2.83, 3 In 2.96-3.06

=====

[5]
A plane-wave DFT calculation with PBE was carried out for an optimized crystal structure of ZrIn3Pt.

Summary:
- mass density (g/cm³) = 7.89
- electronic total energy (hartree per atom) = -0.1580
- calculated volume (Å³ per atom) = 26.54

a b c (Å): 5.1006 5.1006 5.1006
angles (deg): 90.00 90.00 90.00
Last column: nearest neighbours and their distance in Å.
Element x y z (fractional)
1 Zr 0.0000 0.0000 0.0000  12 In 3.61
2 In 0.0000 0.5000 0.5000  2 Pt 2.55
3 In 0.5000 0.0000 0.5000  2 Pt 2.55
4 In 0.5000 0.5000 0.0000  2 Pt 2.55
5 Pt 0.5000 0.5000 0.5000  6 In 2.55

=====

[6]
A plane-wave DFT calculation with PBE was carried out for an optimized crystal structure of Zr6In3Pt.

Summary:
- mass density (g/cm³) = 7.87
- electronic total energy (hartree per atom) = -0.2499
- calculated volume (Å³ per atom) = 22.93

a b c (Å): 9.4456 11.0292 4.4030
angles (deg): 90.00 90.00 90.00
Last column: nearest neighbours and their distance in Å.
Element x y z (fractional)
1 Zr 0.0338 0.2286 0.0000  1 Pt 2.54
2 Zr 0.1746 0.0529 0.5000  2 Pt 2.81, 3 In 3.11-3.13
3 Zr 0.1959 0.3732 0.5000  5 Zr 3.12-3.38, 1 Pt 3.20, 6 In 3.20-3.45
4 Zr 0.3041 0.8732 0.0000  5 Zr 3.12-3.38, 1 Pt 3.20, 6 In 3.20-3.45
5 Zr 0.3254 0.5529 0.0000  2 Pt 2.81, 3 In 3.11-3.13
6 Zr 0.4662 0.7286 0.5000  1 Pt 2.54
7 Zr 0.5338 0.2714 0.5000  1 Pt 2.54
8 Zr 0.6746 0.4471 0.0000  2 Pt 2.81, 3 In 3.11-3.13
9 Zr 0.6959 0.1268 0.0000  5 Zr 3.12-3.38, 1 Pt 3.20, 6 In 3.20-3.45
10 Zr 0.8041 0.6268 0.5000  5 Zr 3.12-3.38, 1 Pt 3.20, 6 In 3.20-3.45
11 Zr 0.8254 0.9471 0.5000  2 Pt 2.81, 3 In 3.11-3.13
12 Zr 0.9662 0.7714 0.0000  1 Pt 2.54
13 In 0.0000 0.5000 0.0000  8 Zr 3.01-3.20, 4 In 3.30
14 In 0.1489 0.6832 0.5000  6 Zr 2.96-3.32, 2 In 3.30
15 In 0.3511 0.1832 0.0000  6 Zr 2.96-3.32, 2 In 3.30
16 In 0.5000 0.0000 0.5000  8 Zr 3.01-3.20, 4 In 3.30
17 In 0.6489 0.8168 0.0000  6 Zr 2.96-3.32, 2 In 3.30
18 In 0.8511 0.3168 0.5000  6 Zr 2.96-3.32, 2 In 3.30
19 Pt 0.0000 0.0000 0.0000  6 Zr 2.54-2.81
20 Pt 0.5000 0.5000 0.5000  6 Zr 2.54-2.81

=====

[7]
A plane-wave DFT calculation with PBE was carried out for an optimized crystal structure of Zr3InPt.

Summary:
- mass density (g/cm³) = 7.28
- electronic total energy (hartree per atom) = -0.2521
- calculated volume (Å³ per atom) = 26.63

a b c (Å): 5.1063 5.1063 5.1063
angles (deg): 90.00 90.00 90.00
Last column: nearest neighbours and their distance in Å.
Element x y z (fractional)
1 Zr 0.0000 0.0000 0.5000  2 Pt 2.55
2 Zr 0.0000 0.5000 0.0000  2 Pt 2.55
3 Zr 0.5000 0.0000 0.0000  2 Pt 2.55
4 In 0.5000 0.5000 0.5000  12 Zr 3.61
5 Pt 0.0000 0.0000 0.0000  6 Zr 2.55

=====

[8]
A plane-wave DFT calculation with PBE was carried out for an optimized crystal structure of ZrInPt2.

Summary:
- mass density (g/cm³) = 12.85
- electronic total energy (hartree per atom) = -0.2421
- calculated volume (Å³ per atom) = 19.26

a b c (Å): 3.4386 4.3314 5.4477
angles (deg): 90.00 108.31 90.00
Last column: nearest neighbours and their distance in Å.
Element x y z (fractional)
1 Zr 0.0000 0.0000 0.0000  7 Pt 2.80-2.93
2 In 0.7081 0.5000 0.4149  7 Pt 2.73-2.98
3 Pt 0.2715 0.0000 0.5421  2 Pt 2.80, 3 Zr 2.80-2.93, 4 In 2.84
4 Pt 0.4436 0.5000 0.8862  3 In 2.73-2.98, 2 Pt 2.80, 4 Zr 2.83

=====

[9]
A plane-wave DFT calculation with PBE was carried out for an optimized crystal structure of ZrInPt2.

Summary:
- mass density (g/cm³) = 13.08
- electronic total energy (hartree per atom) = -0.2432
- calculated volume (Å³ per atom) = 18.92

a b c (Å): 3.4084 3.4084 6.5139
angles (deg): 90.00 90.00 90.00
Last column: nearest neighbours and their distance in Å.
Element x y z (fractional)
1 Zr 0.0000 0.0000 0.0000  8 Pt 2.85
2 In 0.0000 0.0000 0.5000  8 Pt 2.97, 2 Zr 3.26
3 Pt 0.5000 0.5000 0.2326  4 Zr 2.85, 4 In 2.97, 1 Pt 3.03
4 Pt 0.5000 0.5000 0.7674  4 Zr 2.85, 4 In 2.97, 1 Pt 3.03

=====

[10]
A plane-wave DFT calculation with PBE was carried out for an optimized crystal structure of Zr2InPt2.

Summary:
- mass density (g/cm³) = 10.38
- electronic total energy (hartree per atom) = -0.2509
- calculated volume (Å³ per atom) = 21.99

a b c (Å): 8.2726 8.2726 8.2726
angles (deg): 153.83 153.83 37.35
Last column: nearest neighbours and their distance in Å.
Element x y z (fractional)
1 Zr 0.1198 0.1198 0.0000  4 Pt 2.77
2 Zr 0.8802 0.8802 0.0000  4 Pt 2.77
3 In 0.5000 0.5000 0.0000  8 Zr 3.25
4 Pt 0.2500 0.7500 0.5000  4 Pt 2.65, 4 Zr 2.77
5 Pt 0.7500 0.2500 0.5000  4 Pt 2.65, 4 Zr 2.77

=====

Among the records above, which one has the lowest mass density?
number 3

=====

What is the calculated volume in the third record?
33.03 Å³ per atom

=====

Which of these has the highest electronic total energy?
number 3

=====

What is the electronic total energy in the eighth record?
-0.2421 hartree per atom